# CsHfS3

An optimized crystal structure of CsHfS3 (PBE, Alexandria via LeMat-Bulk).

Summary:
formation energy (no corrections): -845 meV/atom
ΔE to the lowest computed polymorph: 552 meV/atom
ρ: 3.88 Mg/m³
V: 34.9 Å³/atom

Structure (CIF):
```
data_CsHfS3
_chemical_formula_sum 'Cs4 Hf4 S12'
_symmetry_space_group_name_H-M 'I -4 m 2'
_symmetry_Int_Tables_number 119
_symmetry_space_group_name_Hall 'I -4 -2'
_cell_length_a 5.138
_cell_length_b 5.138
_cell_length_c 26.457
_cell_angle_alpha 90.00
_cell_angle_beta 90.00
_cell_angle_gamma 90.00
loop_
_atom_site_label
_atom_site_type_symbol
_atom_site_fract_x
_atom_site_fract_y
_atom_site_fract_z
Cs1 Cs 0.000 0.000 0.099
Hf1 Hf 0.000 0.000 0.500
Hf2 Hf 0.000 0.500 0.250
S1 S 0.000 0.213 0.321
S2 S 0.000 0.500 0.502
```

# USi2Ir2Rh

An optimized crystal structure of USi2Ir2Rh (PBE, Alexandria via LeMat-Bulk).

Summary:
formation energy (no corrections): -93 meV/atom
ρ: 12.11 Mg/m³
V: 17.9 Å³/atom

Structure (CIF):
```
data_USi2Ir2Rh
_chemical_formula_sum 'U1 Si2 Ir2 Rh1'
_symmetry_space_group_name_H-M 'P 4/m m m'
_symmetry_Int_Tables_number 123
_symmetry_space_group_name_Hall '-P 4 2'
_cell_length_a 4.454
_cell_length_b 4.454
_cell_length_c 5.404
_cell_angle_alpha 90.00
_cell_angle_beta 90.00
_cell_angle_gamma 90.00
loop_
_atom_site_label
_atom_site_type_symbol
_atom_site_fract_x
_atom_site_fract_y
_atom_site_fract_z
U1 U 0.000 0.000 0.000
Si1 Si 0.000 0.500 0.500
Ir1 Ir 0.500 0.500 0.241
Rh1 Rh 0.000 0.000 0.500
```

# Ca2PRu

An optimized crystal structure of Ca2PRu (PBE, Alexandria via LeMat-Bulk).

Summary:
calculated formation energy: -355 meV/atom
ρ: 4.01 Mg/m³
V: 22.0 Å³/atom

Structure (CIF):
```
data_Ca2PRu
_chemical_formula_sum 'Ca2 P1 Ru1'
_symmetry_space_group_name_H-M 'P 4 m m'
_symmetry_Int_Tables_number 99
_symmetry_space_group_name_Hall 'P 4 -2'
_cell_length_a 3.217
_cell_length_b 3.217
_cell_length_c 8.498
_cell_angle_alpha 90.00
_cell_angle_beta 90.00
_cell_angle_gamma 90.00
loop_
_atom_site_label
_atom_site_type_symbol
_atom_site_fract_x
_atom_site_fract_y
_atom_site_fract_z
Ca1 Ca 0.000 0.000 0.000
Ca2 Ca 0.500 0.500 0.395
P1 P 0.000 0.000 0.630
Ru1 Ru 0.500 0.500 0.745
```

# SnSbMoI2

An optimized crystal structure of SnSbMoI2 (PBE, Alexandria via LeMat-Bulk).

Summary:
formation energy (no corrections): 552 meV/atom
ΔE to the lowest computed polymorph: 0 meV/atom
ρ: 5.89 Mg/m³
V: 33.3 Å³/atom

Structure (CIF):
```
data_SnSbMoI2
_chemical_formula_sum 'Sn1 Sb1 Mo1 I2'
_symmetry_space_group_name_H-M 'P 4/m m m'
_symmetry_Int_Tables_number 123
_symmetry_space_group_name_Hall '-P 4 2'
_cell_length_a 5.539
_cell_length_b 5.539
_cell_length_c 5.423
_cell_angle_alpha 90.00
_cell_angle_beta 90.00
_cell_angle_gamma 90.00
loop_
_atom_site_label
_atom_site_type_symbol
_atom_site_fract_x
_atom_site_fract_y
_atom_site_fract_z
Sn1 Sn 0.000 0.000 0.000
Sb1 Sb 0.500 0.500 0.000
Mo1 Mo 0.500 0.500 0.500
I1 I 0.000 0.500 0.500
```

# Te3As5

An optimized crystal structure of Te3As5 (PBE, Alexandria via LeMat-Bulk).

Summary:
formation energy (no corrections): 448 meV/atom
ΔE to the lowest computed polymorph: 256 meV/atom
ρ: 6.34 Mg/m³
V: 24.8 Å³/atom

Structure (CIF):
```
data_Te3As5
_chemical_formula_sum 'Te6 As10'
_symmetry_space_group_name_H-M 'P 63/m c m'
_symmetry_Int_Tables_number 193
_symmetry_space_group_name_Hall '-P 6c 2'
_cell_length_a 9.4486
_cell_length_b 9.4486
_cell_length_c 5.1333
_cell_angle_alpha 90.00
_cell_angle_beta 90.00
_cell_angle_gamma 120.00
loop_
_atom_site_label
_atom_site_type_symbol
_atom_site_fract_x
_atom_site_fract_y
_atom_site_fract_z
Te1 Te 0.0000 0.3806 0.2500
As1 As 0.0000 0.1669 0.7500
As2 As 0.3333 0.6667 0.0000
```

# Li2HgN

An optimized crystal structure of Li2HgN (PBE, Alexandria via LeMat-Bulk).

Summary:
formation energy (no corrections): 229 meV/atom
ΔE to the lowest computed polymorph: 0 meV/atom
ρ: 5.76 Mg/m³
V: 16.5 Å³/atom

Structure (CIF):
```
data_Li2HgN
_chemical_formula_sum 'Li8 Hg4 N4'
_symmetry_space_group_name_H-M 'I -4 2 d'
_symmetry_Int_Tables_number 122
_symmetry_space_group_name_Hall 'I -4 2bw'
_cell_length_a 4.706
_cell_length_b 4.706
_cell_length_c 11.890
_cell_angle_alpha 90.00
_cell_angle_beta 90.00
_cell_angle_gamma 90.00
loop_
_atom_site_label
_atom_site_type_symbol
_atom_site_fract_x
_atom_site_fract_y
_atom_site_fract_z
Li1 Li 0.003 0.250 0.125
Hg1 Hg 0.000 0.000 0.500
N1 N 0.000 0.000 0.000
```